{"formula": "TlCrGa2O", "functional": "PBE with a Hubbard U", "state": "relaxed", "total_energy_ev_per_atom": -3.137, "dos_at_fermi_per_ev_fu": 4.78, "total_magnetization_mub_per_cell": 3.83, "lattice_angstrom": [[5.238, 0.000, 0.000], [0.000, 5.238, 0.000], [0.000, 0.000, 5.460]], "species": ["Tl", "Cr", "Ga", "Ga", "O"], "fractional_positions": [[0.000, 0.000, 0.000], [0.000, 0.000, 0.500], [0.000, 0.500, 0.000], [0.500, 0.000, 0.000], [0.500, 0.500, 0.500]]}